[1]
Li4ZnGa2Hg | PBE | relaxed

Output
* density: 5.8 g cm⁻³
* calculated total energy: -2.23 eV/atom

POSCAR file:
```
Li4ZnGa2Hg
1.0
4.423 0.000 0.000
0.000 4.423 0.000
0.000 0.000 6.287
Li Zn Ga Hg
4 1 2 1
direct
0.000 0.000 0.000
0.000 0.500 0.740
0.500 0.000 0.260
0.500 0.500 0.500
0.000 0.000 0.500
0.000 0.500 0.269
0.500 0.000 0.731
0.500 0.500 0.000
```

---

[2]
BeTlBPt | PBE | relaxed

Output
* energy above the lowest structure with this stoichiometry: 24.1 kJ/mol of atoms
* density: 11.7 g cm⁻³
* calculated total energy: -3.60 eV/atom

POSCAR file:
```
BeTlBPt
1.0
6.191 0.000 0.000
0.000 6.191 0.000
0.000 0.000 6.191
Be Tl B Pt
4 4 4 4
direct
0.000 0.000 0.000
0.000 0.500 0.500
0.500 0.000 0.500
0.500 0.500 0.000
0.250 0.250 0.750
0.250 0.750 0.250
0.750 0.250 0.250
0.750 0.750 0.750
0.250 0.250 0.250
0.250 0.750 0.750
0.750 0.250 0.750
0.750 0.750 0.250
0.000 0.000 0.500
0.000 0.500 0.000
0.500 0.000 0.000
0.500 0.500 0.500
```

---

[3]
Zr4H8O11 | PBE | relaxed

Output
* density: 4.3 g cm⁻³
* calculated total energy: -7.01 eV/atom

POSCAR file:
```
Zr4H8O11
1.0
4.212 0.000 0.000
-1.172 5.178 0.000
-0.327 -1.257 9.653
Zr H O
4 8 11
direct
0.000 0.000 0.000
0.150 0.954 0.669
0.526 0.522 0.507
0.693 0.525 0.178
0.092 0.417 0.826
0.170 0.987 0.367
0.197 0.510 0.032
0.558 0.135 0.049
0.577 0.557 0.881
0.600 0.070 0.301
0.685 0.292 0.739
0.957 0.185 0.412
0.031 0.873 0.183
0.042 0.586 0.546
0.148 0.401 0.108
0.149 0.114 0.449
0.163 0.792 0.843
0.487 0.337 0.696
0.515 0.707 0.336
0.629 0.642 0.977
0.634 0.879 0.626
0.700 0.258 0.328
0.973 0.236 0.830
```

---

[4]
ScRe2Hg | PBE | relaxed

Output
* density: 15.1 g cm⁻³
* calculated total energy: -7.55 eV/atom
* DFT formation energy: 320 meV per atom

POSCAR file:
```
ScRe2Hg
1.0
6.485 0.000 0.000
0.000 6.485 0.000
0.000 0.000 6.485
Sc Re Hg
4 8 4
direct
0.000 0.000 0.000
0.000 0.500 0.500
0.500 0.000 0.500
0.500 0.500 0.000
0.000 0.000 0.500
0.000 0.500 0.000
0.250 0.250 0.750
0.250 0.750 0.250
0.500 0.000 0.000
0.500 0.500 0.500
0.750 0.250 0.250
0.750 0.750 0.750
0.250 0.250 0.250
0.250 0.750 0.750
0.750 0.250 0.750
0.750 0.750 0.250
```